# 1
Below is a relaxed Pu2CSe crystal, with properties calculated at the PBE-GGA level.

Calculated values
Symmetry ... Pmmn
Total moment ... 9.98 μB/f.u.
E_tot ... -11.013 eV/atom
Volume ... 20.5 Å³ per atom
Formation energy from raw total energies ... -2.7 eV/f.u.
Density ... 11.70 g/cm³

Structure (POSCAR):
```
Pu2CSe
1.0
3.732 0.000 0.000
0.000 5.567 0.000
0.000 0.000 7.911
Pu C Se
4 2 2
Cartesian
0.933 1.392 0.691
0.933 1.392 5.338
2.799 4.175 2.573
2.799 4.175 7.220
0.933 4.175 0.955
2.799 1.392 6.956
0.933 4.175 4.897
2.799 1.392 3.014
```

=====

# 2
Below is a relaxed BaSbPb2O6 crystal, with properties calculated at the PBE-GGA level.

Calculated values
Symmetry ... P2_1/c
Total moment ... 0.00 μB/f.u.
E_tot ... -5.843 eV/atom
Volume ... 16.6 Å³ per atom
Formation energy from raw total energies ... -15.2 eV/f.u.
Density ... 7.68 g/cm³

Structure (POSCAR):
```
BaSbPb2O6
1.0
5.805 0.000 0.000
0.000 6.666 0.000
-5.730 0.000 8.603
Ba Sb Pb O
2 2 4 12
Cartesian
0.000 0.000 0.000
-2.865 3.333 4.301
0.038 0.000 4.301
2.902 3.333 0.000
-2.874 0.160 6.191
-0.010 3.173 1.889
0.085 3.493 6.713
2.950 6.506 2.412
-1.729 0.994 4.198
-4.593 2.339 8.499
-3.750 4.758 7.455
-0.885 5.241 3.154
0.791 0.881 2.618
-2.074 2.452 6.919
2.149 4.214 1.683
-0.716 5.786 5.985
0.960 1.425 5.449
3.825 1.908 1.148
4.669 4.327 0.104
1.804 5.672 4.405
```

=====

# 3
Below is a relaxed RuRh2Cl crystal, with properties calculated at the PBE-GGA level.

Calculated values
Symmetry ... Pmmm
Total moment ... 0.00 μB/f.u.
E_tot ... -6.114 eV/atom
Volume ... 16.3 Å³ per atom
Formation energy from raw total energies ... 1.4 eV/f.u.
Density ... 8.71 g/cm³
ΔE to the lowest computed polymorph ... 47 meV per atom

Structure (POSCAR):
```
RuRh2Cl
1.0
2.830 0.000 0.000
0.000 3.501 0.000
0.000 0.000 6.589
Ru Rh Cl
1 2 1
Cartesian
0.000 0.000 0.000
1.415 1.750 1.341
1.415 1.750 5.248
1.415 0.000 3.295
```

=====

# 4
Below is a relaxed CsUTe4 crystal, with properties calculated at the PBE-GGA level.

Calculated values
Symmetry ... C2/m
Total moment ... 1.00 μB/f.u.
E_tot ... -4.734 eV/atom
Volume ... 43.7 Å³ per atom
Formation energy from raw total energies ... -3.7 eV/f.u.
Density ... 5.58 g/cm³
ΔE to the lowest computed polymorph ... 27 meV per atom

Structure (POSCAR):
```
CsUTe4
1.0
8.156 -4.085 0.000
8.156 4.085 0.000
-1.040 0.000 7.876
Cs U Te
2 2 8
Cartesian
3.074 0.000 1.482
12.199 0.000 6.394
6.766 0.000 5.688
8.507 0.000 2.187
6.314 2.065 3.510
8.156 1.990 0.000
3.884 0.000 5.697
8.959 2.065 4.366
6.314 -2.065 3.510
11.389 0.000 2.178
8.156 -1.990 0.000
8.959 -2.065 4.366
```

=====

# 5
Below is a relaxed Pr3Zn2Pt4 crystal, with properties calculated at the PBE-GGA level.

Calculated values
Symmetry ... C2/m
Total moment ... 0.00 μB/f.u.
E_tot ... -5.487 eV/atom
ΔE_f ... -925.9 meV per atom
Volume ... 21.9 Å³ per atom
Density ... 11.23 g/cm³

Structure (POSCAR):
```
Pr3Zn2Pt4
1.0
5.612 -2.176 0.000
5.612 2.176 0.000
-3.572 0.000 8.075
Pr Zn Pt
3 2 4
Cartesian
0.000 0.000 0.000
2.927 0.000 2.488
4.725 0.000 5.587
1.407 0.000 5.415
6.246 0.000 2.659
-0.550 0.000 3.329
-0.073 0.000 7.523
7.726 0.000 0.552
8.203 0.000 4.746
```

=====

# 6
Below is a relaxed LaCeTl3 crystal, with properties calculated at the PBE-GGA level.

Calculated values
Symmetry ... P2_1/c
Total moment ... 0.88 μB/f.u.
E_tot ... -3.866 eV/atom
ΔE_f ... -274.4 meV per atom
Volume ... 29.6 Å³ per atom
Density ... 10.02 g/cm³

Structure (POSCAR):
```
LaCeTl3
1.0
8.697 0.000 0.000
0.000 6.810 0.000
-4.251 0.000 9.984
La Ce Tl
4 4 12
Cartesian
1.358 1.375 0.467
-0.767 2.030 5.459
5.213 4.779 4.525
3.088 5.435 9.517
-0.186 3.946 8.681
1.940 6.268 3.689
2.507 0.541 6.295
4.632 2.864 1.303
-0.922 3.725 2.469
-3.047 6.490 7.461
1.665 4.685 0.727
-0.461 5.529 5.719
0.006 0.649 8.567
2.131 2.756 3.575
2.315 4.054 6.408
4.440 6.160 1.416
4.907 1.280 4.265
2.782 2.125 9.257
7.493 0.320 2.523
5.368 3.085 7.515
```

=====

# 7
Below is a relaxed AcTbGe4 crystal, with properties calculated at the PBE-GGA level.

Calculated values
Symmetry ... F-43m
Total moment ... 0.00 μB/f.u.
E_tot ... -4.859 eV/atom
ΔE_f ... -323.9 meV per atom
Volume ... 23.2 Å³ per atom
Density ... 8.09 g/cm³
ΔE to the lowest computed polymorph ... 236 meV per atom

Structure (POSCAR):
```
AcTbGe4
1.0
0.000 4.111 4.111
4.111 0.000 4.111
4.111 4.111 0.000
Ac Tb Ge
1 1 4
Cartesian
0.000 0.000 0.000
2.055 2.055 2.055
5.097 3.125 3.125
3.125 5.097 3.125
3.125 3.125 5.097
5.097 5.097 5.097
```

=====

Please write out number 1 again, unchanged.
Below is a relaxed Pu2CSe crystal, with properties calculated at the PBE-GGA level.

Calculated values
Symmetry ... Pmmn
Total moment ... 9.98 μB/f.u.
E_tot ... -11.013 eV/atom
Volume ... 20.5 Å³ per atom
Formation energy from raw total energies ... -2.7 eV/f.u.
Density ... 11.70 g/cm³

Structure (POSCAR):
```
Pu2CSe
1.0
3.732 0.000 0.000
0.000 5.567 0.000
0.000 0.000 7.911
Pu C Se
4 2 2
Cartesian
0.933 1.392 0.691
0.933 1.392 5.338
2.799 4.175 2.573
2.799 4.175 7.220
0.933 4.175 0.955
2.799 1.392 6.956
0.933 4.175 4.897
2.799 1.392 3.014
```

=====

Question: total moment of number 6 (LaCeTl3)?
Answer: 0.88 μB/f.u.

=====

Question: The highest density belongs to which entry?
Answer: Pu2CSe